Here is an optimized crystal structure of MnPbF2 from Alexandria via LeMat-Bulk. Energies are from PBE+U.

Calculated values
Polymorph energy (0 for the lowest one), meV/atom: 267
Electronic total energy, eV per atom: -5.30
Total moment, μB per cell: 10.0

a b c (Å): 6.5287 6.5287 6.5287
angles (deg): 126.20 126.20 79.56
Sites, in units of the cell vectors:
Mn: 0.0000 0.0000 0.0000
Mn: 0.7500 0.2500 0.5000
Pb: 0.2500 0.7500 0.5000
Pb: 0.5000 0.5000 0.0000
F: 0.3750 0.2226 0.3476
F: 0.7774 0.1250 0.1524
F: 0.8750 0.0274 0.6524
F: 0.9726 0.6250 0.8476